Compound: KRbNiF2
Source: Alexandria
Functional: PBE with a Hubbard U
Structure: optimized geometry

Cell and atoms, written as extended XYZ:
```
5
Lattice="5.052 0.000 0.000 0.000 5.052 0.000 0.000 0.000 5.112" Properties=species:S:1:pos:R:3 pbc="T T T"
K 0.000 0.000 0.000
Rb 2.526 2.526 2.556
Ni 0.000 0.000 2.556
F 0.000 2.526 0.000
F 2.526 0.000 0.000
```

Output
The calculation puts the total energy at -13.62 eV for the cell shown.